DFT (meta-GGA SCAN) results for a crystal of MgCrB2 relaxed with PBEsol.

a b c (Å): 3.6395 3.6395 7.6808
angles (deg): 103.71 103.71 90.00
Positions (direct):
B  0.1250  0.3750  0.2500
B  0.6250  0.8750  0.7500
B  0.1250  0.8750  0.2500
B  0.1250  0.8750  0.7500
Cr  0.2500  0.7500  0.5000
Cr  0.0000  0.0000  0.0000
Mg  0.5000  0.5000  0.0000
Mg  0.7500  0.2500  0.5000

Computed properties:
Its total energy is -72.1 eV per cell. The symmetry is I4_1/amd.